1.
Density functional theory data (PBE) for a relaxed structure of TaAgW2.

Cell lengths 2.742, 4.704, 5.317 Å; angles 90.00, 97.99, 90.00 degrees
Positions (direct):
1 Ta 0.000 0.000 0.000
2 Ag 0.500 0.000 0.500
3 W 0.267 0.500 0.761
4 W 0.733 0.500 0.239

Density ... 16.05 g/cm³
Total energy ... -9.75 eV per atom
Excess energy over the best structure of this formula in the dataset ... 0.181 eV/atom
Formation energy from the elements ... 0.401 eV per atom
D(E_F) ... 3.96 states/eV/f.u.
Space group ... P2/m (10)

***

2.
Density functional theory data (PBE) for a relaxed structure of BaTi2Hg2.

Cell lengths 8.614, 8.614, 3.195 Å; angles 90.00, 90.00, 90.00 degrees
Positions (direct):
1 Ba 0.000 0.000 0.000
2 Ba 0.500 0.500 0.000
3 Ti 0.109 0.391 0.000
4 Ti 0.391 0.891 0.000
5 Ti 0.609 0.109 0.000
6 Ti 0.891 0.609 0.000
7 Hg 0.180 0.680 0.500
8 Hg 0.320 0.180 0.500
9 Hg 0.680 0.820 0.500
10 Hg 0.820 0.320 0.500

Density ... 8.88 g/cm³
Total energy ... -3.57 eV per atom
Excess energy over the best structure of this formula in the dataset ... 0.007 eV/atom
Formation energy from the elements ... 0.091 eV per atom
D(E_F) ... 6.82 states/eV/f.u.
Space group ... P4/mbm (127)

***

3.
Density functional theory data (PBE) for a relaxed structure of Bi2TeAs.

Cell lengths 6.895, 6.895, 6.895 Å; angles 102.91, 102.91, 123.58 degrees
Positions (direct):
1 Bi 0.098 0.625 0.973
2 Bi 0.375 0.348 0.473
3 Bi 0.652 0.125 0.027
4 Bi 0.875 0.902 0.527
5 Te 0.250 0.750 0.500
6 Te 0.500 0.500 0.000
7 As 0.000 0.000 0.000
8 As 0.750 0.250 0.500

Density ... 8.56 g/cm³
Total energy ... -3.82 eV per atom
Excess energy over the best structure of this formula in the dataset ... 0.114 eV/atom
Energy relative to the elements, uncorrected ... 0.07 eV/atom
D(E_F) ... 2.44 states/eV/f.u.
Space group ... I-42d (122)

***

4.
Density functional theory data (PBE) for a relaxed structure of Mo5Ir.

Cell lengths 4.886, 4.886, 4.554 Å; angles 90.00, 90.00, 120.00 degrees
Positions (direct):
1 Mo 0.000 0.670 0.000
2 Mo 0.330 0.330 0.000
3 Mo 0.333 0.667 0.500
4 Mo 0.667 0.333 0.500
5 Mo 0.670 0.000 0.000
6 Ir 0.000 0.000 0.500

Density ... 11.85 g/cm³
Total energy ... -10.33 eV per atom
Excess energy over the best structure of this formula in the dataset ... 0.119 eV/atom
Formation energy from the elements ... 0.177 eV per atom
D(E_F) ... 7.38 states/eV/f.u.
Space group ... P-62m (189)

***

5.
Density functional theory data (PBE) for a relaxed structure of TaCrTc.

Cell lengths 4.314, 4.314, 2.769 Å; angles 90.00, 90.00, 120.00 degrees
Positions (direct):
1 Ta 0.000 0.000 0.000
2 Cr 0.667 0.333 0.661
3 Tc 0.333 0.667 0.344

Density ... 12.31 g/cm³
Total energy ... -10.64 eV per atom
Excess energy over the best structure of this formula in the dataset ... 0.099 eV/atom
Formation energy from the elements ... -0.029 eV per atom
D(E_F) ... 2.14 states/eV/f.u.
Space group ... P3m1 (156)

***

6.
Density functional theory data (PBE) for a relaxed structure of ErCd4Au5.

Cell lengths 3.484, 3.484, 16.655 Å; angles 90.00, 90.00, 90.00 degrees
Positions (direct):
1 Er 0.000 0.000 0.000
2 Cd 0.000 0.000 0.207
3 Cd 0.000 0.000 0.403
4 Cd 0.000 0.000 0.597
5 Cd 0.000 0.000 0.793
6 Au 0.500 0.500 0.105
7 Au 0.500 0.500 0.306
8 Au 0.500 0.500 0.500
9 Au 0.500 0.500 0.694
10 Au 0.500 0.500 0.895

Density ... 13.16 g/cm³
Total energy ... -2.81 eV per atom
Formation energy from the elements ... -0.345 eV per atom
D(E_F) ... 3.02 states/eV/f.u.
Space group ... P4/mmm (123)

***

7.
Density functional theory data (PBE) for a relaxed structure of ZrFe2Ir.

Cell lengths 9.106, 9.106, 9.106 Å; angles 17.80, 17.80, 17.80 degrees
Positions (direct):
1 Zr 0.000 0.000 0.000
2 Fe 0.243 0.243 0.243
3 Fe 0.757 0.757 0.757
4 Ir 0.500 0.500 0.500

Density ... 10.65 g/cm³
Total energy ... -8.34 eV per atom
Formation energy from the elements ... 0.241 eV per atom
D(E_F) ... 5.60 states/eV/f.u.
Space group ... R-3m (166)

***

8.
Density functional theory data (PBE) for a relaxed structure of Pr2Tm8Sc3.

Cell lengths 6.010, 6.032, 10.963 Å; angles 90.00, 100.51, 99.64 degrees
Positions (direct):
1 Pr 0.117 0.269 0.461
2 Pr 0.883 0.731 0.539
3 Tm 0.040 0.418 0.147
4 Tm 0.193 0.122 0.781
5 Tm 0.346 0.808 0.376
6 Tm 0.425 0.660 0.702
7 Tm 0.575 0.340 0.298
8 Tm 0.654 0.192 0.624
9 Tm 0.807 0.878 0.219
10 Tm 0.960 0.582 0.853
11 Sc 0.273 0.962 0.073
12 Sc 0.500 0.500 0.000
13 Sc 0.727 0.038 0.927

Density ... 7.63 g/cm³
Total energy ... -4.90 eV per atom
Formation energy from the elements ... 0.050 eV per atom
D(E_F) ... 20.62 states/eV/f.u.
Space group ... P-1 (2)